(1)
VASP calculation (PBE) on an optimized crystal structure of Sr6AlTl5.

```
Sr6AlTl5
1.0
5.465 -0.033 1.821
0.044 8.118 0.015
-0.011 -0.016 9.142
Sr Tl Al
6 5 1
Direct
0.835 0.753 0.329
0.836 0.247 0.329
0.500 0.245 0.000
0.500 0.755 0.000
0.164 0.753 0.671
0.165 0.247 0.671
0.667 0.500 0.666
0.333 0.000 0.333
0.000 0.500 0.000
0.667 0.000 0.667
0.333 0.500 0.334
0.000 0.000 0.000
```

Properties
- Total DFT energy (no corrections): -2.51 eV/atom
- Magnetization: 0.00 μB per formula unit


(2)
VASP calculation (PBE) on an optimized crystal structure of SrTmAlTl.

```
SrTmAlTl
1.0
-5.385 -0.650 -0.167
-2.223 -4.667 1.651
-2.858 -0.163 4.610
Sr Tl Tm Al
1 1 1 1
Direct
0.750 0.750 0.750
0.000 0.000 0.000
0.250 0.250 0.250
0.500 0.500 0.500
```

Properties
- Total DFT energy (no corrections): -3.27 eV/atom
- Magnetization: 0.00 μB per formula unit


(3)
VASP calculation (PBE) on an optimized crystal structure of SrYAlTl.

```
SrYAlTl
1.0
-2.171 4.275 -2.608
-3.830 -0.784 -3.810
-5.167 1.461 0.983
Y Sr Tl Al
1 1 1 1
Direct
0.750 0.750 0.750
0.250 0.250 0.250
0.000 0.000 0.000
0.500 0.500 0.500
```

Properties
- Total DFT energy (no corrections): -3.80 eV/atom
- Magnetization: 0.00 μB per formula unit


(4)
VASP calculation (PBE) on an optimized crystal structure of Sr2Al4TlZn3.

```
Sr2Al4TlZn3
1.0
4.456 0.000 0.000
0.000 4.456 0.000
0.000 0.000 11.213
Sr Al Tl Zn
2 4 1 3
Direct
0.500 0.000 0.241
0.000 0.500 0.759
0.500 0.500 0.000
0.000 0.000 0.000
0.500 0.000 0.647
0.000 0.500 0.353
0.500 0.500 0.500
0.000 0.000 0.500
0.500 0.000 0.872
0.000 0.500 0.128
```

Properties
- Total DFT energy (no corrections): -2.66 eV/atom
- Magnetization: 0.00 μB per formula unit


(5)
VASP calculation (PBE) on an optimized crystal structure of SrTmAl4.

```
SrTmAl4
1.0
5.671 0.000 0.000
2.836 4.911 0.000
2.836 1.637 4.631
Sr Tm Al
1 1 4
Direct
0.250 0.250 0.250
0.000 0.000 0.000
0.625 0.625 0.124
0.625 0.124 0.625
0.625 0.625 0.625
0.124 0.625 0.625
```

Properties
- Total DFT energy (no corrections): -3.84 eV/atom
- Magnetization: 0.00 μB per formula unit


(6)
VASP calculation (PBE) on an optimized crystal structure of SrTmAl.

```
SrTmAl
1.0
-4.334 1.976 1.426
1.323 -0.535 4.763
3.296 7.298 -0.096
Al Sr Tm
2 2 2
Direct
0.500 0.000 0.720
0.000 0.500 0.280
0.500 0.000 0.144
0.000 0.500 0.856
0.500 0.500 0.500
0.000 0.000 0.500
```

Properties
- Total DFT energy (no corrections): -3.45 eV/atom
- Magnetization: 0.00 μB per formula unit
- Energy relative to the lowest polymorph listed for this composition: 0 meV per atom


(7)
VASP calculation (PBE) on an optimized crystal structure of SrTmAl.

```
SrTmAl
1.0
-1.302 2.688 2.232
-2.385 -2.425 1.529
6.442 -1.741 2.741
Sr Tm Al
1 1 1
Direct
0.019 0.019 0.039
0.297 0.297 0.593
0.684 0.684 0.368
```

Properties
- Total DFT energy (no corrections): -3.38 eV/atom
- Magnetization: 0.00 μB per formula unit
- Energy relative to the lowest polymorph listed for this composition: 64 meV per atom


(8)
VASP calculation (PBE) on an optimized crystal structure of SrUAl4.

```
SrUAl4
1.0
5.669 0.000 0.000
2.834 4.909 0.000
2.834 1.636 4.629
Sr U Al
1 1 4
Direct
0.250 0.250 0.250
0.000 0.000 0.000
0.626 0.626 0.122
0.626 0.122 0.626
0.626 0.626 0.626
0.122 0.626 0.626
```

Properties
- Total DFT energy (no corrections): -4.70 eV/atom
- Magnetization: 3.01 μB per formula unit


(9)
VASP calculation (PBE) on an optimized crystal structure of Sr2AlV.

```
Sr2AlV
1.0
-1.252 -5.119 7.094
6.889 -4.994 -2.388
4.771 -3.176 4.055
Sr Al V
4 2 2
Direct
0.627 0.125 0.250
0.123 0.625 0.250
0.375 0.373 0.750
0.875 0.877 0.750
0.500 0.500 0.000
0.250 0.750 0.500
0.000 0.000 0.000
0.750 0.250 0.500
```

Properties
- Total DFT energy (no corrections): -3.31 eV/atom
- Magnetization: 3.54 μB per formula unit


(10)
VASP calculation (PBE) on an optimized crystal structure of Sr2AlV2.

```
Sr2AlV2
1.0
8.984 0.000 0.000
0.000 8.984 0.000
0.000 0.000 3.715
Sr Al V
4 2 4
Direct
0.356 0.856 0.000
0.856 0.644 0.000
0.644 0.144 0.000
0.144 0.356 0.000
0.000 0.000 0.000
0.500 0.500 0.000
0.159 0.659 0.500
0.659 0.841 0.500
0.841 0.341 0.500
0.341 0.159 0.500
```

Properties
- Total DFT energy (no corrections): -3.90 eV/atom
- Magnetization: 7.91 μB per formula unit
- Energy relative to the lowest polymorph listed for this composition: 678 meV per atom


(11)
VASP calculation (PBE) on an optimized crystal structure of Sr2AlV2.

```
Sr2AlV2
1.0
-3.249 0.965 0.348
-0.210 -1.758 2.911
1.519 8.515 7.245
Sr Al V
2 1 2
Direct
0.392 0.392 0.217
0.608 0.608 0.783
0.000 0.000 0.000
0.750 0.250 0.500
0.250 0.750 0.500
```

Properties
- Total DFT energy (no corrections): -4.58 eV/atom
- Magnetization: 0.00 μB per formula unit
- Energy relative to the lowest polymorph listed for this composition: 0 meV per atom


(12)
VASP calculation (PBE) on an optimized crystal structure of SrAlW2.

```
SrAlW2
1.0
-0.225 -2.856 -0.460
2.539 0.527 1.303
-4.250 -1.070 8.716
Sr Al W
1 1 2
Direct
0.500 0.500 0.751
0.000 0.000 0.465
0.000 0.000 0.037
0.500 0.500 0.248
```

Properties
- Total DFT energy (no corrections): -7.26 eV/atom
- Magnetization: 0.00 μB per formula unit